A relaxed FeHg2Pb crystal. Source: Alexandria via LeMat-Bulk, functional PBE.

Properties
As for the magnetization: 0.7190 μB per atom. The final energy comes out at -10.81 eV/f.u. For the calculated formation energy, the calculation gives 0.49 eV/atom. The value obtained for the calculated volume is 22.35 Å³ per atom.

```
data_FeHg2Pb
_chemical_formula_sum 'Fe2 Hg4 Pb2'
_space_group_name_H-M_alt 'I 4/m m m'
_space_group_IT_number 139
_space_group_name_Hall '-I 4 2'
_cell_length_a 4.236
_cell_length_b 4.236
_cell_length_c 9.966
_cell_angle_alpha 90.00
_cell_angle_beta 90.00
_cell_angle_gamma 90.00
loop_
_atom_site_label
_atom_site_type_symbol
_atom_site_fract_x
_atom_site_fract_y
_atom_site_fract_z
Fe1 Fe 0.000 0.000 0.000
Hg1 Hg 0.000 0.500 0.250
Pb1 Pb 0.000 0.000 0.500
```

A relaxed Cu2HgHAu crystal. Source: Alexandria via LeMat-Bulk, functional PBE.

Properties
As for the magnetization: 0.0000 μB per atom. For the energy relative to the lowest polymorph listed for this composition, the calculation gives 0.000 eV per atom. The final energy comes out at -14.10 eV/f.u. The value obtained for the calculated volume is 13.44 Å³ per atom.

```
data_Cu2HgHAu
_chemical_formula_sum 'Cu2 Hg1 H1 Au1'
_space_group_name_H-M_alt 'P 4/m m m'
_space_group_IT_number 123
_space_group_name_Hall '-P 4 2'
_cell_length_a 4.193
_cell_length_b 4.193
_cell_length_c 3.821
_cell_angle_alpha 90.00
_cell_angle_beta 90.00
_cell_angle_gamma 90.00
loop_
_atom_site_label
_atom_site_type_symbol
_atom_site_fract_x
_atom_site_fract_y
_atom_site_fract_z
Cu1 Cu 0.000 0.500 0.000
Hg1 Hg 0.000 0.000 0.500
H1 H 0.500 0.500 0.000
Au1 Au 0.500 0.500 0.500
```

A relaxed ErTlCd6 crystal. Source: Alexandria via LeMat-Bulk, functional PBE.

Properties
As for the magnetization: 0.0000 μB per atom. The final energy comes out at -13.23 eV/f.u. For the calculated formation energy, the calculation gives -0.10 eV/atom. The value obtained for the calculated volume is 23.93 Å³ per atom.

```
data_ErTlCd6
_chemical_formula_sum 'Er2 Tl2 Cd12'
_space_group_name_H-M_alt 'A m m 2'
_space_group_IT_number 38
_cell_length_a 4.836
_cell_length_b 7.752
_cell_length_c 10.211
_cell_angle_alpha 90.00
_cell_angle_beta 90.00
_cell_angle_gamma 90.00
loop_
_space_group_symop_operation_xyz
'x,y,z'
'-x,-y,z'
'-x,y,z'
'x,-y,z'
'x,y+1/2,z+1/2'
'-x,-y+1/2,z+1/2'
'-x,y+1/2,z+1/2'
'x,-y+1/2,z+1/2'
loop_
_atom_site_label
_atom_site_type_symbol
_atom_site_fract_x
_atom_site_fract_y
_atom_site_fract_z
Er1 Er 0.000 0.000 0.000
Tl1 Tl 0.500 0.000 0.228
Cd1 Cd 0.000 0.000 0.430
Cd2 Cd 0.000 0.198 0.712
Cd3 Cd 0.500 0.000 0.803
Cd4 Cd 0.500 0.209 0.510
```

A relaxed SrIr2Se crystal. Source: Alexandria via LeMat-Bulk, functional PBE.

Properties
As for the magnetization: 0.0000 μB per atom. The final energy comes out at -22.51 eV/f.u. The value obtained for the calculated volume is 18.62 Å³ per atom.

```
data_SrIr2Se
_chemical_formula_sum 'Sr2 Ir4 Se2'
_space_group_name_H-M_alt 'C 1 2/m 1'
_space_group_IT_number 12
_cell_length_a 11.330
_cell_length_b 2.957
_cell_length_c 4.935
_cell_angle_alpha 90.00
_cell_angle_beta 115.75
_cell_angle_gamma 90.00
loop_
_space_group_symop_operation_xyz
'x,y,z'
'-x,-y,-z'
'-x,y,-z'
'x,-y,z'
'x+1/2,y+1/2,z'
'-x+1/2,-y+1/2,-z'
'-x+1/2,y+1/2,-z'
'x+1/2,-y+1/2,z'
loop_
_atom_site_label
_atom_site_type_symbol
_atom_site_fract_x
_atom_site_fract_y
_atom_site_fract_z
Sr1 Sr 0.000 0.000 0.000
Ir1 Ir 0.226 0.000 0.725
Se1 Se 0.000 0.500 0.500
```

A relaxed Ag5P crystal. Source: Alexandria via LeMat-Bulk, functional PBE.

Properties
As for the magnetization: 0.0329 μB per atom. For the energy relative to the lowest polymorph listed for this composition, the calculation gives 0.320 eV per atom. The final energy comes out at -16.88 eV/f.u. For the calculated formation energy, the calculation gives 0.46 eV/atom. The value obtained for the calculated volume is 20.04 Å³ per atom.

```
data_Ag5P
_chemical_formula_sum 'Ag5 P1'
_space_group_name_H-M_alt 'P 6/m m m'
_space_group_IT_number 191
_space_group_name_Hall '-P 6 2'
_cell_length_a 5.3854
_cell_length_b 5.3854
_cell_length_c 4.7872
_cell_angle_alpha 90.00
_cell_angle_beta 90.00
_cell_angle_gamma 120.00
loop_
_atom_site_label
_atom_site_type_symbol
_atom_site_fract_x
_atom_site_fract_y
_atom_site_fract_z
Ag1 Ag 0.0000 0.5000 0.0000
Ag2 Ag 0.3333 0.6667 0.5000
P1 P 0.0000 0.0000 0.5000
```

A relaxed Al2O3 crystal. Source: Alexandria via LeMat-Bulk, functional PBE.

Properties
As for the magnetization: 0.0000 μB per atom. The final energy comes out at -37.40 eV/f.u. The value obtained for the calculated volume is 8.75 Å³ per atom.

```
data_Al2O3
_chemical_formula_sum 'Al12 O18'
_space_group_name_H-M_alt 'R -3 c'
_space_group_IT_number 167
_space_group_name_Hall '-R 3 2"c'
_cell_length_a 4.8069
_cell_length_b 4.8069
_cell_length_c 13.1199
_cell_angle_alpha 90.00
_cell_angle_beta 90.00
_cell_angle_gamma 120.00
loop_
_atom_site_label
_atom_site_type_symbol
_atom_site_fract_x
_atom_site_fract_y
_atom_site_fract_z
Al1 Al 0.0000 0.0000 0.1478
O1 O 0.0000 0.3062 0.2500
```

A relaxed Cs2TiNCl6 crystal. Source: Alexandria via LeMat-Bulk, functional PBE.

Properties
As for the magnetization: 0.2870 μB per atom. The final energy comes out at -40.29 eV/f.u. The value obtained for the calculated volume is 31.30 Å³ per atom.

```
data_Cs2TiNCl6
_chemical_formula_sum 'Cs4 Ti2 N2 Cl12'
_space_group_name_H-M_alt 'I 4/m m m'
_space_group_IT_number 139
_space_group_name_Hall '-I 4 2'
_cell_length_a 7.597
_cell_length_b 7.597
_cell_length_c 10.848
_cell_angle_alpha 90.00
_cell_angle_beta 90.00
_cell_angle_gamma 90.00
loop_
_atom_site_label
_atom_site_type_symbol
_atom_site_fract_x
_atom_site_fract_y
_atom_site_fract_z
Cs1 Cs 0.000 0.500 0.250
Ti1 Ti 0.000 0.000 0.000
N1 N 0.000 0.000 0.500
Cl1 Cl 0.000 0.000 0.218
Cl2 Cl 0.220 0.220 0.000
```

A relaxed Cs2AcZrSe4 crystal. Source: Alexandria via LeMat-Bulk, functional PBE.

Properties
As for the magnetization: 0.0002 μB per atom. The final energy comes out at -40.14 eV/f.u. The value obtained for the calculated volume is 34.00 Å³ per atom.

```
data_Cs2AcZrSe4
_chemical_formula_sum 'Cs2 Ac1 Zr1 Se4'
_space_group_name_H-M_alt 'P 1 2/m 1'
_space_group_IT_number 10
_cell_length_a 7.534
_cell_length_b 4.283
_cell_length_c 8.768
_cell_angle_alpha 90.00
_cell_angle_beta 105.94
_cell_angle_gamma 90.00
loop_
_space_group_symop_operation_xyz
'x,y,z'
'-x,-y,-z'
'-x,y,-z'
'x,-y,z'
loop_
_atom_site_label
_atom_site_type_symbol
_atom_site_fract_x
_atom_site_fract_y
_atom_site_fract_z
Cs1 Cs 0.000 0.000 0.000
Cs2 Cs 0.500 0.500 0.000
Ac1 Ac 0.000 0.500 0.500
Zr1 Zr 0.500 0.000 0.500
Se1 Se 0.263 0.000 0.694
Se2 Se 0.298 0.500 0.317
```

Question: Look up the magnetization of the fourth one.
Answer: 0.0000 μB per atom

Question: What is the calculated volume in the sixth record?
Answer: 8.75 Å³ per atom

Question: The highest magnetization belongs to which entry?
Answer: FeHg2Pb